Here is a geometry-optimized In3NiSb structure from Alexandria via LeMat-Bulk. Energies are from PBE-GGA.

a = 5.0182 Å, b = 5.0182 Å, c = 5.0182 Å
α = 90.00°, β = 90.00°, γ = 90.00°
With the nearest neighbours (Å) after each atom.
Fractional coordinates of all 5 atoms:
In: 0.0000 0.0000 0.5000  2 Ni 2.51
In: 0.0000 0.5000 0.0000  2 Ni 2.51
In: 0.5000 0.0000 0.0000  2 Ni 2.51
Ni: 0.0000 0.0000 0.0000  6 In 2.51
Sb: 0.5000 0.5000 0.5000  12 In 3.55

space-group type	No. 221
Fermi-level density of states	4.14	states/eV/f.u.
energy relative to the lowest polymorph listed for this composition	0.00	kJ/mol of atoms
crystal system	cubic
spin magnetization	0.00	μB per formula unit